Record 1
Density functional theory data (GGA-PBE) for a relaxed structure of SrTh2IrN4.

## Properties
SG   No. 63
Crystal system   orthorhombic
Raw formation energy   -0.91 eV/atom

Cell lengths 6.2849, 6.2849, 12.6056 Å; angles 90.00, 90.00, 145.39 degrees
Closest atoms and distances in Å follow each position.
Element x y z (fractional)
1 Sr 0.0750 0.9250 0.7500  2 N 2.81, 1 Ir 3.15
2 Sr 0.9250 0.0750 0.2500  2 N 2.81, 1 Ir 3.15
3 Th 0.3660 0.6340 0.5545  6 N 2.38-2.56
4 Th 0.3660 0.6340 0.9455  6 N 2.38-2.56
5 Th 0.6340 0.3660 0.0545  6 N 2.38-2.56
6 Th 0.6340 0.3660 0.4455  6 N 2.38-2.56
7 Ir 0.1871 0.8129 0.2500  4 N 2.04-2.14
8 Ir 0.8129 0.1871 0.7500  4 N 2.04-2.14
9 N 0.0000 0.0000 0.0000  4 Th 2.56
10 N 0.0000 0.0000 0.5000  4 Th 2.56
11 N 0.2539 0.7461 0.1008  1 Ir 2.04
12 N 0.2539 0.7461 0.3992  1 Ir 2.04
13 N 0.4000 0.6000 0.7500  2 Ir 2.14
14 N 0.6000 0.4000 0.2500  2 Ir 2.14
15 N 0.7461 0.2539 0.6008  1 Ir 2.04
16 N 0.7461 0.2539 0.8992  1 Ir 2.04

Record 2
Density functional theory data (GGA-PBE) for a relaxed structure of Sr2TlIrN.

## Properties
SG   No. 123
Crystal system   tetragonal
Raw formation energy   -0.47 eV/atom

Cell lengths 5.5927, 5.5927, 3.8307 Å; angles 90.00, 90.00, 90.00 degrees
Closest atoms and distances in Å follow each position.
Element x y z (fractional)
1 Sr 0.0000 0.5000 0.0000  2 N 2.80
2 Sr 0.5000 0.0000 0.0000  2 N 2.80
3 Tl 0.0000 0.0000 0.5000  8 Sr 3.39
4 Ir 0.5000 0.5000 0.5000  2 N 1.92
5 N 0.5000 0.5000 0.0000  2 Ir 1.92

Record 3
Density functional theory data (GGA-PBE) for a relaxed structure of Sr2ZnIrN.

## Properties
SG   No. 123
Crystal system   tetragonal
Raw formation energy   -0.46 eV/atom

Cell lengths 5.4506, 5.4506, 3.8100 Å; angles 90.00, 90.00, 90.00 degrees
Closest atoms and distances in Å follow each position.
Element x y z (fractional)
1 Sr 0.0000 0.5000 0.0000  2 N 2.73
2 Sr 0.5000 0.0000 0.0000  2 N 2.73
3 Zn 0.0000 0.0000 0.5000  8 Sr 3.33
4 Ir 0.5000 0.5000 0.5000  2 N 1.91
5 N 0.5000 0.5000 0.0000  2 Ir 1.91

Record 4
Density functional theory data (GGA-PBE) for a relaxed structure of Ta2IrN.

## Properties
SG   No. 122
Crystal system   tetragonal
Raw formation energy   -0.34 eV/atom

Cell lengths 5.2406, 5.2406, 10.2929 Å; angles 90.00, 90.00, 90.00 degrees
Closest atoms and distances in Å follow each position.
Element x y z (fractional)
1 Ta 0.1716 0.2500 0.1250  2 N 2.04
2 Ta 0.2500 0.6716 0.3750  2 N 2.04
3 Ta 0.2500 0.8284 0.8750  2 N 2.04
4 Ta 0.3284 0.2500 0.6250  2 N 2.04
5 Ta 0.6716 0.7500 0.6250  2 N 2.04
6 Ta 0.7500 0.1716 0.8750  2 N 2.04
7 Ta 0.7500 0.3284 0.3750  2 N 2.04
8 Ta 0.8284 0.7500 0.1250  2 N 2.04
9 Ir 0.0000 0.0000 0.5000  4 Ta 2.52
10 Ir 0.0000 0.5000 0.7500  4 Ta 2.52
11 Ir 0.5000 0.0000 0.2500  4 Ta 2.52
12 Ir 0.5000 0.5000 0.0000  4 Ta 2.52
13 N 0.0000 0.0000 0.0000  4 Ta 2.04
14 N 0.0000 0.5000 0.2500  4 Ta 2.04
15 N 0.5000 0.0000 0.7500  4 Ta 2.04
16 N 0.5000 0.5000 0.5000  4 Ta 2.04

Record 5
Density functional theory data (GGA-PBE) for a relaxed structure of TaIrN2.

## Properties
ΔE to the lowest computed polymorph   136.8 meV/atom
SG   No. 122
Crystal system   tetragonal
Raw formation energy   -0.11 eV/atom

Cell lengths 4.2029, 4.2029, 11.3775 Å; angles 90.00, 90.00, 90.00 degrees
Closest atoms and distances in Å follow each position.
Element x y z (fractional)
1 Ta 0.0000 0.0000 0.0000  4 N 2.04
2 Ta 0.0000 0.5000 0.2500  4 N 2.04
3 Ta 0.5000 0.0000 0.7500  4 N 2.04
4 Ta 0.5000 0.5000 0.5000  4 N 2.04
5 Ir 0.0000 0.0000 0.5000  4 N 2.08
6 Ir 0.0000 0.5000 0.7500  4 N 2.08
7 Ir 0.5000 0.0000 0.2500  4 N 2.08
8 Ir 0.5000 0.5000 0.0000  4 N 2.08
9 N 0.2416 0.2500 0.1250  2 Ta 2.04, 2 Ir 2.08
10 N 0.2500 0.7416 0.3750  2 Ta 2.04, 2 Ir 2.08
11 N 0.2500 0.7584 0.8750  2 Ta 2.04, 2 Ir 2.08
12 N 0.2584 0.2500 0.6250  2 Ta 2.04, 2 Ir 2.08
13 N 0.7416 0.7500 0.6250  2 Ta 2.04, 2 Ir 2.08
14 N 0.7500 0.2416 0.8750  2 Ta 2.04, 2 Ir 2.08
15 N 0.7500 0.2584 0.3750  2 Ta 2.04, 2 Ir 2.08
16 N 0.7584 0.7500 0.1250  2 Ta 2.04, 2 Ir 2.08

Record 6
Density functional theory data (GGA-PBE) for a relaxed structure of TaIr2N.

## Properties
SG   No. 122
Crystal system   tetragonal
Raw formation energy   0.24 eV/atom

Cell lengths 5.1153, 5.1153, 10.3816 Å; angles 90.00, 90.00, 90.00 degrees
Closest atoms and distances in Å follow each position.
Element x y z (fractional)
1 Ta 0.0000 0.0000 0.0000  4 Ir 2.53
2 Ta 0.0000 0.5000 0.2500  4 Ir 2.53
3 Ta 0.5000 0.0000 0.7500  4 Ir 2.53
4 Ta 0.5000 0.5000 0.5000  4 Ir 2.53
5 Ir 0.1577 0.2500 0.6250  2 N 1.99
6 Ir 0.2500 0.6577 0.8750  2 N 1.99
7 Ir 0.2500 0.8423 0.3750  2 N 1.99
8 Ir 0.3423 0.2500 0.1250  2 N 1.99
9 Ir 0.6577 0.7500 0.1250  2 N 1.99
10 Ir 0.7500 0.1577 0.3750  2 N 1.99
11 Ir 0.7500 0.3423 0.8750  2 N 1.99
12 Ir 0.8423 0.7500 0.6250  2 N 1.99
13 N 0.0000 0.0000 0.5000  4 Ir 1.99
14 N 0.0000 0.5000 0.7500  4 Ir 1.99
15 N 0.5000 0.0000 0.2500  4 Ir 1.99
16 N 0.5000 0.5000 0.0000  4 Ir 1.99

Record 7
Density functional theory data (GGA-PBE) for a relaxed structure of TaIrN.

## Properties
SG   No. 129
Crystal system   tetragonal
Raw formation energy   -0.62 eV/atom

Cell lengths 2.8942, 2.8942, 8.9280 Å; angles 90.00, 90.00, 90.00 degrees
Closest atoms and distances in Å follow each position.
Element x y z (fractional)
1 Ta 0.2500 0.2500 0.1650  5 N 2.15-2.29
2 Ta 0.7500 0.7500 0.8350  5 N 2.15-2.29
3 Ir 0.2500 0.2500 0.6073  1 N 2.69, 8 Ir 2.80-2.89, 4 Ta 2.88
4 Ir 0.7500 0.7500 0.3927  1 N 2.69, 8 Ir 2.80-2.89, 4 Ta 2.88
5 N 0.2500 0.2500 0.9088  5 Ta 2.15-2.29
6 N 0.7500 0.7500 0.0912  5 Ta 2.15-2.29

Record 8
Density functional theory data (GGA-PBE) for a relaxed structure of TaIrN2.

## Properties
ΔE to the lowest computed polymorph   0.0 meV/atom
SG   No. 166
Crystal system   trigonal
Raw formation energy   -0.25 eV/atom

Cell lengths 3.0344, 3.0344, 18.9302 Å; angles 90.00, 90.00, 120.00 degrees
Closest atoms and distances in Å follow each position.
Element x y z (fractional)
1 Ta 0.0000 0.0000 0.0000  6 N 2.09
2 Ta 0.3333 0.6667 0.6667  6 N 2.09
3 Ta 0.6667 0.3333 0.3333  6 N 2.09
4 Ir 0.0000 0.0000 0.5000  2 N 2.01
5 Ir 0.3333 0.6667 0.1667  2 N 2.01
6 Ir 0.6667 0.3333 0.8333  2 N 2.01
7 N 0.0000 0.0000 0.3940  1 Ir 2.01, 3 Ta 2.09
8 N 0.0000 0.0000 0.6060  1 Ir 2.01, 3 Ta 2.09
9 N 0.3333 0.6667 0.0606  1 Ir 2.01, 3 Ta 2.09
10 N 0.3333 0.6667 0.2727  1 Ir 2.01, 3 Ta 2.09
11 N 0.6667 0.3333 0.7273  1 Ir 2.01, 3 Ta 2.09
12 N 0.6667 0.3333 0.9394  1 Ir 2.01, 3 Ta 2.09

Record 9
Density functional theory data (GGA-PBE) for a relaxed structure of Ta4IrN.

## Properties
SG   No. 14
Crystal system   monoclinic
Raw formation energy   -0.27 eV/atom

Cell lengths 6.5222, 5.6167, 5.3168 Å; angles 90.00, 97.13, 90.00 degrees
Closest atoms and distances in Å follow each position.
Element x y z (fractional)
1 Ta 0.1080 0.1364 0.3579  2 N 2.09-2.32
2 Ta 0.1080 0.3636 0.8579  2 N 2.09-2.32
3 Ta 0.3021 0.6071 0.4214  1 N 2.15
4 Ta 0.3021 0.8929 0.9214  1 N 2.15
5 Ta 0.6979 0.1071 0.0786  1 N 2.15
6 Ta 0.6979 0.3929 0.5786  1 N 2.15
7 Ta 0.8920 0.6364 0.1421  2 N 2.09-2.32
8 Ta 0.8920 0.8636 0.6421  2 N 2.09-2.32
9 Ir 0.5000 0.0000 0.5000  6 Ta 2.56-2.79
10 Ir 0.5000 0.5000 0.0000  6 Ta 2.56-2.79
11 N 0.0000 0.0000 0.0000  6 Ta 2.09-2.32
12 N 0.0000 0.5000 0.5000  6 Ta 2.09-2.32

Record 10
Density functional theory data (GGA-PBE) for a relaxed structure of Ta2IrN.

## Properties
SG   No. 166
Crystal system   trigonal
Raw formation energy   -0.66 eV/atom

Cell lengths 3.0723, 3.0723, 20.4618 Å; angles 90.00, 90.00, 120.00 degrees
Closest atoms and distances in Å follow each position.
Element x y z (fractional)
1 Ta 0.0000 0.0000 0.2268  3 N 2.16
2 Ta 0.0000 0.0000 0.7732  3 N 2.16
3 Ta 0.3333 0.6667 0.4399  3 N 2.16
4 Ta 0.3333 0.6667 0.8934  3 N 2.16
5 Ta 0.6667 0.3333 0.1066  3 N 2.16
6 Ta 0.6667 0.3333 0.5601  3 N 2.16
7 Ir 0.0000 0.0000 0.0000  6 Ta 2.81, 6 Ir 3.07
8 Ir 0.3333 0.6667 0.6667  6 Ta 2.81, 6 Ir 3.07
9 Ir 0.6667 0.3333 0.3333  6 Ta 2.81, 6 Ir 3.07
10 N 0.0000 0.0000 0.5000  6 Ta 2.16
11 N 0.3333 0.6667 0.1667  6 Ta 2.16
12 N 0.6667 0.3333 0.8333  6 Ta 2.16

Record 11
Density functional theory data (GGA-PBE) for a relaxed structure of TaIrN2.

## Properties
ΔE to the lowest computed polymorph   891.3 meV/atom
SG   No. 225
Crystal system   cubic
Raw formation energy   0.64 eV/atom

Cell lengths 5.5315, 5.5315, 5.5315 Å; angles 90.00, 90.00, 90.00 degrees
Closest atoms and distances in Å follow each position.
Element x y z (fractional)
1 Ta 0.0000 0.0000 0.0000  8 N 2.40
2 Ta 0.0000 0.5000 0.5000  8 N 2.40
3 Ta 0.5000 0.0000 0.5000  8 N 2.40
4 Ta 0.5000 0.5000 0.0000  8 N 2.40
5 Ir 0.0000 0.0000 0.5000  8 N 2.40
6 Ir 0.0000 0.5000 0.0000  8 N 2.40
7 Ir 0.5000 0.0000 0.0000  8 N 2.40
8 Ir 0.5000 0.5000 0.5000  8 N 2.40
9 N 0.2500 0.2500 0.2500  4 Ta 2.40, 4 Ir 2.40
10 N 0.2500 0.2500 0.7500  4 Ta 2.40, 4 Ir 2.40
11 N 0.2500 0.7500 0.2500  4 Ta 2.40, 4 Ir 2.40
12 N 0.2500 0.7500 0.7500  4 Ta 2.40, 4 Ir 2.40
13 N 0.7500 0.2500 0.2500  4 Ta 2.40, 4 Ir 2.40
14 N 0.7500 0.2500 0.7500  4 Ta 2.40, 4 Ir 2.40
15 N 0.7500 0.7500 0.2500  4 Ta 2.40, 4 Ir 2.40
16 N 0.7500 0.7500 0.7500  4 Ta 2.40, 4 Ir 2.40

Record 12
Density functional theory data (GGA-PBE) for a relaxed structure of TaTe2IrN.

## Properties
ΔE to the lowest computed polymorph   0.0 meV/atom
SG   No. 123
Crystal system   tetragonal
Raw formation energy   0.72 eV/atom

Cell lengths 5.4232, 5.4232, 3.6406 Å; angles 90.00, 90.00, 90.00 degrees
Closest atoms and distances in Å follow each position.
Element x y z (fractional)
1 Ta 0.0000 0.0000 0.0000  8 Te 3.27, 2 Ta 3.64
2 Te 0.0000 0.5000 0.5000  2 Ir 2.71
3 Te 0.5000 0.0000 0.5000  2 Ir 2.71
4 Ir 0.5000 0.5000 0.5000  2 N 1.82
5 N 0.5000 0.5000 0.0000  2 Ir 1.82

Record 13
Density functional theory data (GGA-PBE) for a relaxed structure of TaTeIrN2.

## Properties
ΔE to the lowest computed polymorph   523.2 meV/atom
SG   No. 123
Crystal system   tetragonal
Raw formation energy   1.29 eV/atom

Cell lengths 3.8020, 3.8020, 7.8027 Å; angles 90.00, 90.00, 90.00 degrees
Closest atoms and distances in Å follow each position.
Element x y z (fractional)
1 Ta 0.0000 0.0000 0.0000  4 Te 2.69
2 Te 0.5000 0.5000 0.0000  4 Ta 2.69
3 Ir 0.5000 0.5000 0.5000  4 N 1.90
4 N 0.0000 0.5000 0.5000  2 Ir 1.90
5 N 0.5000 0.0000 0.5000  2 Ir 1.90